A relaxed structure of NdSc3S, computed with PBE-GGA.

a = 5.000 Å, b = 5.000 Å, c = 5.000 Å
α = 90.00°, β = 90.00°, γ = 90.00°
Space group Pm-3m (No. 221)
One atom of each set of equivalent atoms:
Nd (0.000, 0.000, 0.000) x1
Sc (0.000, 0.500, 0.500) x3
S (0.500, 0.500, 0.500) x1

Results
- uncorrected formation energy (eV per atom) = -0.597